Entry 1:
A plane-wave DFT calculation with GGA-PBEsol was carried out for a geometry-optimized Nb2CrF structure.

Properties
The calculation puts the density of states at the Fermi level at 16.76 states/eV/cell. The value obtained for the volume is 14.00 Å³/atom. As for the formation energy (no corrections): 0.119 eV/atom.

```
Nb2CrF
1.0
6.0733 0.0000 0.0000
0.0000 6.0733 0.0000
0.0000 0.0000 6.0733
Nb Cr F
8 4 4
Direct
0.2500 0.2500 0.2500
0.2500 0.2500 0.7500
0.2500 0.7500 0.2500
0.2500 0.7500 0.7500
0.7500 0.2500 0.2500
0.7500 0.2500 0.7500
0.7500 0.7500 0.2500
0.7500 0.7500 0.7500
0.0000 0.0000 0.0000
0.0000 0.5000 0.5000
0.5000 0.0000 0.5000
0.5000 0.5000 0.0000
0.0000 0.0000 0.5000
0.0000 0.5000 0.0000
0.5000 0.0000 0.0000
0.5000 0.5000 0.5000
```

***

Entry 2:
A plane-wave DFT calculation with GGA-PBEsol was carried out for a geometry-optimized NbCrReF2 structure.

Properties
The calculation puts the density of states at the Fermi level at 5.37 states/eV/cell. The value obtained for the volume is 15.05 Å³/atom. As for the formation energy (no corrections): 0.416 eV/atom.

```
NbCrReF2
1.0
3.9174 0.0000 0.0000
0.0000 3.9174 0.0000
0.0000 0.0000 4.9041
Nb Cr Re F
1 1 1 2
Direct
0.0000 0.0000 0.0000
0.5000 0.5000 0.0000
0.5000 0.5000 0.5000
0.0000 0.5000 0.5000
0.5000 0.0000 0.5000
```